Record 1
A relaxed KAlN crystal. Source: Alexandria, functional PBE.

Cell lengths 3.2969, 6.3295, 6.9034 Å; angles 109.96, 90.00, 90.00 degrees
Closest atoms and distances in Å follow each position.
Sites, in units of the cell vectors:
Al (0.2500, 0.8683, 0.8713)  3 N 1.89-1.95
Al (0.7500, 0.1317, 0.1287)  3 N 1.89-1.95
N (0.2500, 0.1916, 0.0223)  3 Al 1.89-1.95
N (0.7500, 0.8084, 0.9777)  3 Al 1.89-1.95
K (0.7500, 0.3278, 0.7350)  3 N 2.93
K (0.2500, 0.6722, 0.2650)  3 N 2.93

Calculated values
**Total energy**: -4.79 eV/atom
**Magnetization**: 0.0 μB per cell
**ρ**: 1.96 Mg/m³
**E_form (uncorrected)**: -398 meV per atom
**Polymorph energy (0 for the lowest one)**: 9.9 kJ per mole of atoms

***

Record 2
A relaxed KAl3N crystal. Source: Alexandria, functional PBE.

Cell lengths 4.5501, 4.5501, 4.5501 Å; angles 90.00, 90.00, 90.00 degrees
Closest atoms and distances in Å follow each position.
Sites, in units of the cell vectors:
K (0.5000, 0.5000, 0.5000)  12 Al 3.22
Al (0.0000, 0.5000, 0.0000)  2 N 2.28
Al (0.0000, 0.0000, 0.5000)  2 N 2.28
Al (0.5000, 0.0000, 0.0000)  2 N 2.28
N (0.0000, 0.0000, 0.0000)  6 Al 2.28

Calculated values
**Total energy**: -3.49 eV/atom
**Magnetization**: 0.0 μB per cell
**ρ**: 2.36 Mg/m³
**E_form (uncorrected)**: 638 meV per atom
**Polymorph energy (0 for the lowest one)**: 0.0 kJ per mole of atoms

***

Record 3
A relaxed KAl2N crystal. Source: Alexandria, functional PBE.

Cell lengths 4.8218, 4.8218, 4.8218 Å; angles 60.00, 60.00, 60.00 degrees
Closest atoms and distances in Å follow each position.
Sites, in units of the cell vectors:
K (0.5000, 0.5000, 0.5000)  8 Al 2.95
Al (0.2500, 0.2500, 0.2500)  4 K 2.95, 4 N 2.95
Al (0.7500, 0.7500, 0.7500)  4 K 2.95, 4 N 2.95
N (0.0000, 0.0000, 0.0000)  8 Al 2.95

Calculated values
**Total energy**: -2.85 eV/atom
**Magnetization**: 0.0 μB per cell
**ρ**: 2.24 Mg/m³
**E_form (uncorrected)**: 1378 meV per atom
**Polymorph energy (0 for the lowest one)**: 111.3 kJ per mole of atoms

***

Record 4
A relaxed K2AlN crystal. Source: Alexandria, functional PBE.

Cell lengths 12.3016, 12.3016, 8.8870 Å; angles 46.20, 46.20, 90.00 degrees
Closest atoms and distances in Å follow each position.
Sites, in units of the cell vectors:
K (0.4345, 0.1250, 0.2500)  2 N 3.19, 2 Al 3.44
K (0.3155, 0.6250, 0.2500)  2 N 3.19, 2 Al 3.44
K (0.3750, 0.5655, 0.7500)  2 N 3.19, 2 Al 3.44
K (0.8750, 0.6845, 0.7500)  2 N 3.19, 2 Al 3.44
Al (0.0000, 0.0000, 0.0000)  2 N 1.82
Al (0.7500, 0.2500, 0.5000)  2 N 1.82
N (0.5000, 0.5000, 0.0000)  2 Al 1.82
N (0.2500, 0.7500, 0.5000)  2 Al 1.82

Calculated values
**Total energy**: -3.52 eV/atom
**Magnetization**: 1.1 μB per cell
**ρ**: 1.44 Mg/m³
**E_form (uncorrected)**: 45 meV per atom
**Polymorph energy (0 for the lowest one)**: 0.0 kJ per mole of atoms